Below is an optimized crystal structure of HoAlAgPd, with properties calculated at the PBE level.

Lattice parameters (Å, degrees): 6.7184 6.7184 6.7184 90.00 90.00 90.00
Space group F-43m (No. 216)
Asymmetric unit:
Ho  0.0000  0.0000  0.0000 (multiplicity 4)
Al  0.0000  0.0000  0.5000 (multiplicity 4)
Ag  0.2500  0.2500  0.2500 (multiplicity 4)
Pd  0.2500  0.2500  0.7500 (multiplicity 4)

Calculated values
- calculated density (Mg/m³) = 8.9
- DOS at the Fermi energy (states/eV per cell) = 10.05
- energy (eV per cell) = -74.5
- DFT formation energy (kJ per mole of atoms) = -55

Below is an optimized crystal structure of Ho2Al4AgPd3, with properties calculated at the PBE level.

Lattice parameters (Å, degrees): 4.1566 4.1566 10.9335 90.00 90.00 90.00
Space group P-4m2 (No. 115)
Asymmetric unit:
Ho  0.0000  0.5000  0.2392 (multiplicity 2)
Al  0.0000  0.0000  0.0000 (multiplicity 1)
Al  0.0000  0.5000  0.6385 (multiplicity 2)
Al  0.5000  0.5000  0.0000 (multiplicity 1)
Ag  0.0000  0.0000  0.5000 (multiplicity 1)
Pd  0.0000  0.5000  0.8646 (multiplicity 2)
Pd  0.5000  0.5000  0.5000 (multiplicity 1)

Calculated values
- calculated density (Mg/m³) = 7.6
- DOS at the Fermi energy (states/eV per cell) = 4.26
- energy (eV per cell) = -49.8
- DFT formation energy (kJ per mole of atoms) = -70